1.
A plane-wave DFT calculation with PBE-GGA was carried out for a relaxed Pr7Y2Sc2 crystal.

Results
Crystal system: monoclinic
Symmetry: C2/m (12)
V, Å³/atom: 33.643
DFT formation energy, meV/atom: 141
E above lowest polymorph, meV/atom: 7
N(E_F), states/eV/atom: 1.354

Lattice parameters (Å, degrees): 8.033 8.033 6.151 104.28 104.28 92.98
Fractional positions:
1 Pr 0.000 0.000 0.000
2 Pr 0.054 0.582 0.809
3 Pr 0.418 0.946 0.191
4 Pr 0.425 0.425 0.206
5 Pr 0.575 0.575 0.794
6 Pr 0.582 0.054 0.809
7 Pr 0.946 0.418 0.191
8 Y 0.211 0.211 0.588
9 Y 0.789 0.789 0.412
10 Sc 0.224 0.776 0.500
11 Sc 0.776 0.224 0.500

2.
A plane-wave DFT calculation with PBE-GGA was carried out for a relaxed PrY6Sc3 crystal.

Results
Crystal system: orthorhombic
Symmetry: Cmc2_1 (36)
V, Å³/atom: 30.482
DFT formation energy, meV/atom: 159
E above lowest polymorph, meV/atom: 0
N(E_F), states/eV/atom: 1.236

Lattice parameters (Å, degrees): 10.751 10.751 6.289 90.00 90.00 122.99
Fractional positions:
1 Pr 0.212 0.788 0.500
2 Pr 0.788 0.212 0.000
3 Y 0.026 0.431 0.643
4 Y 0.044 0.956 0.131
5 Y 0.295 0.363 0.808
6 Y 0.316 0.684 0.963
7 Y 0.363 0.295 0.308
8 Y 0.431 0.026 0.143
9 Y 0.569 0.974 0.643
10 Y 0.637 0.705 0.808
11 Y 0.684 0.316 0.463
12 Y 0.705 0.637 0.308
13 Y 0.956 0.044 0.631
14 Y 0.974 0.569 0.143
15 Sc 0.080 0.310 0.209
16 Sc 0.310 0.080 0.709
17 Sc 0.385 0.615 0.425
18 Sc 0.615 0.385 0.925
19 Sc 0.690 0.920 0.209
20 Sc 0.920 0.690 0.709

3.
A plane-wave DFT calculation with PBE-GGA was carried out for a relaxed PrYSc4 crystal.

Results
Crystal system: orthorhombic
Symmetry: Immm (71)
V, Å³/atom: 27.435
DFT formation energy, meV/atom: 71
E above lowest polymorph, meV/atom: 0
N(E_F), states/eV/atom: 1.708

Lattice parameters (Å, degrees): 6.304 6.304 6.304 129.77 116.79 84.81
Fractional positions:
1 Pr 0.000 0.000 0.000
2 Y 0.500 0.000 0.500
3 Sc 0.084 0.333 0.751
4 Sc 0.418 0.667 0.751
5 Sc 0.582 0.333 0.249
6 Sc 0.916 0.667 0.249

4.
A plane-wave DFT calculation with PBE-GGA was carried out for a relaxed Pr3Y3Sc crystal.

Results
Crystal system: monoclinic
Symmetry: C2/m (12)
V, Å³/atom: 33.631
DFT formation energy, meV/atom: 114
E above lowest polymorph, meV/atom: 78
N(E_F), states/eV/atom: 1.930

Lattice parameters (Å, degrees): 6.667 6.667 10.628 90.38 90.38 94.54
Fractional positions:
1 Pr 0.019 0.372 0.748
2 Pr 0.174 0.174 0.076
3 Pr 0.372 0.019 0.748
4 Pr 0.628 0.981 0.252
5 Pr 0.826 0.826 0.924
6 Pr 0.981 0.628 0.252
7 Y 0.173 0.173 0.431
8 Y 0.317 0.683 0.500
9 Y 0.321 0.679 0.000
10 Y 0.679 0.321 0.000
11 Y 0.683 0.317 0.500
12 Y 0.827 0.827 0.569
13 Sc 0.474 0.474 0.252
14 Sc 0.526 0.526 0.748

5.
A plane-wave DFT calculation with PBE-GGA was carried out for a relaxed PrYScZn crystal.

Results
Crystal system: cubic
Symmetry: F-43m (216)
V, Å³/atom: 26.426
DFT formation energy, meV/atom: -10
E above lowest polymorph, meV/atom: 147
N(E_F), states/eV/atom: 1.180

Lattice parameters (Å, degrees): 5.307 5.307 5.307 60.00 60.00 60.00
Fractional positions:
1 Pr 0.000 0.000 0.000
2 Y 0.500 0.500 0.500
3 Sc 0.250 0.250 0.250
4 Zn 0.750 0.750 0.750

6.
A plane-wave DFT calculation with PBE-GGA was carried out for a relaxed PrYScZn crystal.

Results
Crystal system: tetragonal
Symmetry: P4mm (99)
V, Å³/atom: 26.461
DFT formation energy, meV/atom: -157
E above lowest polymorph, meV/atom: 0
N(E_F), states/eV/atom: 1.087

Lattice parameters (Å, degrees): 3.506 3.506 8.612 90.00 90.00 90.00
Fractional positions:
1 Pr 0.000 0.000 0.000
2 Y 0.500 0.500 0.683
3 Sc 0.500 0.500 0.288
4 Zn 0.000 0.000 0.461